# 1
The following is a PBE calculation of Be3BiC after structural relaxation, from Alexandria.

Computed properties:
Formation energy, eV per atom: 2.6230
Crystal system: cubic
Calculated density, g/cm3: 4.0
ΔE to the lowest computed polymorph, eV per atom: 1.9562

```
data_Be3BiC
_chemical_formula_sum 'Be3 Bi1 C1'
_cell_length_a 4.689
_cell_length_b 4.689
_cell_length_c 4.689
_cell_angle_alpha 90.00
_cell_angle_beta 90.00
_cell_angle_gamma 90.00
_space_group_name_H-M_alt 'P m -3 m'
_space_group_IT_number 221
_space_group_name_Hall '-P 4 2 3'
loop_
_atom_site_label
_atom_site_fract_x
_atom_site_fract_y
_atom_site_fract_z
Be1 0.000 0.000 0.500
Bi1 0.000 0.000 0.000
C1 0.500 0.500 0.500
```

# 2
The following is a PBE calculation of Be2BiCCl after structural relaxation, from Alexandria.

Computed properties:
Uncorrected formation energy, eV/atom: 0.68
Crystal system: tetragonal
Calculated density, g/cm3: 4.9

```
data_Be2BiCCl
_chemical_formula_sum 'Be2 Bi1 C1 Cl1'
_cell_length_a 3.717
_cell_length_b 3.717
_cell_length_c 6.735
_cell_angle_alpha 90.00
_cell_angle_beta 90.00
_cell_angle_gamma 90.00
_space_group_name_H-M_alt 'P 4/m m m'
_space_group_IT_number 123
_space_group_name_Hall '-P 4 2'
loop_
_atom_site_label
_atom_site_fract_x
_atom_site_fract_y
_atom_site_fract_z
Be1 0.000 0.500 0.000
Bi1 0.000 0.000 0.500
C1 0.500 0.500 0.000
Cl1 0.500 0.500 0.500
```

- Look up the calculated density of the first one.
  4.0 g/cm3